Record 1
LaY3Tl4Te8: relaxed, PBE.

Cell: 9.0170 9.0170 24.5092 Å, 90.00 90.00 120.00°
With the nearest neighbours (Å) after each atom.
Space group R-3m (No. 166, hexagonal axes)
Inequivalent atoms, fractional coordinates:
1 La 0.0000 0.0000 0.0000  6 Te 3.21
2 Y 0.0000 0.5000 0.0000  6 Te 3.12-3.13
3 Tl 0.0000 0.0000 0.5000  6 Te 3.43
4 Tl 0.0000 0.5000 0.5000  6 Te 3.51
5 Te 0.0000 0.0000 0.2625  3 Y 3.13
6 Te 0.0098 0.5049 0.2611  2 Y 3.12, 1 La 3.21, 1 Tl 3.43

Values from the calculation:
The crystal system is trigonal. The uncorrected formation energy is -25.1 kcal/mol of atoms.

Record 2
La5TmTe6: relaxed, PBE.

Cell: 7.8498 13.6286 7.8511 Å, 90.00 109.61 90.00°
With the nearest neighbours (Å) after each atom.
Space group C2/m (No. 12)
Inequivalent atoms, fractional coordinates:
1 La 0.0000 0.0000 0.0000  6 Te 3.21-3.31
2 La 0.0000 0.1656 0.5000  6 Te 3.21-3.24
3 La 0.0000 0.3255 0.0000  6 Te 3.21-3.26
4 Tm 0.0000 0.5000 0.5000  6 Te 3.07-3.11
5 Te 0.2361 0.5000 0.2520  1 Tm 3.11, 5 La 3.24-3.31
6 Te 0.2390 0.3399 0.7396  1 Tm 3.07, 5 La 3.21-3.26

Values from the calculation:
The crystal system is monoclinic. The uncorrected formation energy is -35.1 kcal/mol of atoms. For the density of states at the Fermi level, the calculation gives 0.63 states/eV per atom.

Number 1: calculated density 6477 kg/m3. Number 2: calculated density 6838 kg/m3.